Density functional theory data (PBE) for SrTeAs2F after structural relaxation.

Summary:
- Formation energy (no corrections): -306 kJ/mol of formula units
- M_tot: 0.0 μB per cell
- DOS at the Fermi energy: 2.85 states/eV per cell
- E: -0.282 Ry per atom
- Space-group type: No. 123

```
SrTeAs2F
1.0
4.986 0.000 0.000
0.000 4.986 0.000
0.000 0.000 4.783
Sr Te As F
1 1 2 1
Direct
0.000 0.000 0.000
0.500 0.500 0.000
0.000 0.500 0.500
0.500 0.000 0.500
0.000 0.000 0.500
```



Density functional theory data (PBE) for SrTi2AsF after structural relaxation.

Summary:
- Formation energy (no corrections): -176 kJ/mol of formula units
- M_tot: 5.3 μB per cell
- DOS at the Fermi energy: 5.34 states/eV per cell
- E: -0.379 Ry per atom
- Space-group type: No. 123

```
SrTi2AsF
1.0
4.797 0.000 0.000
0.000 4.797 0.000
0.000 0.000 6.405
Sr Ti As F
1 2 1 1
Direct
0.000 0.000 0.000
0.000 0.500 0.500
0.500 0.000 0.500
0.000 0.000 0.500
0.500 0.500 0.000
```



Density functional theory data (PBE) for SrZn2AsF after structural relaxation.

Summary:
- Formation energy (no corrections): -231 kJ/mol of formula units
- M_tot: 0.0 μB per cell
- DOS at the Fermi energy: 1.64 states/eV per cell
- E: -0.193 Ry per atom
- Space-group type: No. 123

```
SrZn2AsF
1.0
4.747 0.000 0.000
0.000 4.747 0.000
0.000 0.000 4.834
Sr Zn As F
1 2 1 1
Direct
0.000 0.000 0.000
0.000 0.500 0.500
0.500 0.000 0.500
0.500 0.500 0.000
0.500 0.500 0.500
```



Density functional theory data (PBE) for SrZnAsF after structural relaxation.

Summary:
- Formation energy (no corrections): -734 kJ/mol of formula units
- M_tot: 0.0 μB per cell
- E: -0.314 Ry per atom
- Space-group type: No. 129

```
SrZnAsF
1.0
4.142 0.000 0.000
0.000 4.142 0.000
0.000 0.000 9.222
Sr Zn As F
2 2 2 2
Direct
0.250 0.250 0.154
0.750 0.750 0.846
0.250 0.750 0.500
0.750 0.250 0.500
0.250 0.250 0.669
0.750 0.750 0.331
0.250 0.750 0.000
0.750 0.250 0.000
```



Density functional theory data (PBE) for TaAsF3 after structural relaxation.

Summary:
- Formation energy (no corrections): -591 kJ/mol of formula units
- Excess energy over the best structure of this formula in the dataset: 0 meV per atom
- M_tot: 2.6 μB per cell
- DOS at the Fermi energy: 3.93 states/eV per cell
- E: -0.415 Ry per atom
- Space-group type: No. 221

```
TaAsF3
1.0
4.215 0.000 0.000
0.000 4.215 0.000
0.000 0.000 4.215
Ta As F
1 1 3
Direct
0.000 0.000 0.000
0.500 0.500 0.500
0.000 0.000 0.500
0.000 0.500 0.000
0.500 0.000 0.000
```



Density functional theory data (PBE) for Ta2AsF2 after structural relaxation.

Summary:
- Formation energy (no corrections): -237 kJ/mol of formula units
- Excess energy over the best structure of this formula in the dataset: 668 meV per atom
- M_tot: 0.0 μB per cell
- DOS at the Fermi energy: 8.61 states/eV per cell
- E: -0.508 Ry per atom
- Space-group type: No. 127

```
Ta2AsF2
1.0
7.417 0.000 0.000
0.000 7.417 0.000
0.000 0.000 2.768
Ta As F
4 2 4
Direct
0.145 0.355 0.000
0.355 0.855 0.000
0.645 0.145 0.000
0.855 0.645 0.000
0.000 0.000 0.000
0.500 0.500 0.000
0.193 0.693 0.500
0.307 0.193 0.500
0.693 0.807 0.500
0.807 0.307 0.500
```



Density functional theory data (PBE) for TaAsF2 after structural relaxation.

Summary:
- Formation energy (no corrections): -485 kJ/mol of formula units
- Excess energy over the best structure of this formula in the dataset: 0 meV per atom
- M_tot: 0.6 μB per cell
- DOS at the Fermi energy: 3.80 states/eV per cell
- E: -0.464 Ry per atom
- Space-group type: No. 166

```
TaAsF2
1.0
1.410 0.814 10.673
-1.410 0.814 10.673
0.000 -1.628 10.673
Ta As F
1 1 2
Direct
0.000 0.000 0.000
0.500 0.500 0.500
0.381 0.381 0.381
0.619 0.619 0.619
```



Density functional theory data (PBE) for TaAsF3 after structural relaxation.

Summary:
- Formation energy (no corrections): -31 kJ/mol of formula units
- Excess energy over the best structure of this formula in the dataset: 1161 meV per atom
- M_tot: 3.5 μB per cell
- DOS at the Fermi energy: 10.05 states/eV per cell
- E: -0.330 Ry per atom
- Space-group type: No. 221

```
TaAsF3
1.0
4.388 0.000 0.000
0.000 4.388 0.000
0.000 0.000 4.388
Ta As F
1 1 3
Direct
0.000 0.000 0.000
0.500 0.500 0.500
0.000 0.500 0.500
0.500 0.000 0.500
0.500 0.500 0.000
```



Density functional theory data (PBE) for Ta2AsF after structural relaxation.

Summary:
- Formation energy (no corrections): -170 kJ/mol of formula units
- Excess energy over the best structure of this formula in the dataset: 0 meV per atom
- M_tot: 0.0 μB per cell
- DOS at the Fermi energy: 1.80 states/eV per cell
- E: -0.588 Ry per atom
- Space-group type: No. 225

```
Ta2AsF
1.0
0.000 3.110 3.110
3.110 0.000 3.110
3.110 3.110 0.000
Ta As F
2 1 1
Direct
0.250 0.250 0.250
0.750 0.750 0.750
0.000 0.000 0.000
0.500 0.500 0.500
```



Density functional theory data (PBE) for Ta2AsF2 after structural relaxation.

Summary:
- Formation energy (no corrections): -559 kJ/mol of formula units
- Excess energy over the best structure of this formula in the dataset: 0 meV per atom
- M_tot: 0.0 μB per cell
- DOS at the Fermi energy: 4.27 states/eV per cell
- E: -0.557 Ry per atom
- Space-group type: No. 139

```
Ta2AsF2
1.0
-1.664 1.664 6.171
1.664 -1.664 6.171
1.664 1.664 -6.171
Ta As F
2 1 2
Direct
0.114 0.114 0.000
0.886 0.886 0.000
0.500 0.500 0.000
0.250 0.750 0.500
0.750 0.250 0.500
```



Density functional theory data (PBE) for TaAs2F after structural relaxation.

Summary:
- Formation energy (no corrections): -15 kJ/mol of formula units
- Excess energy over the best structure of this formula in the dataset: 212 meV per atom
- M_tot: 0.0 μB per cell
- DOS at the Fermi energy: 9.59 states/eV per cell
- E: -0.426 Ry per atom
- Space-group type: No. 122

```
TaAs2F
1.0
-2.838 2.838 5.761
2.838 -2.838 5.761
2.838 2.838 -5.761
Ta As F
2 4 2
Direct
0.000 0.000 0.000
0.750 0.250 0.500
0.127 0.625 0.002
0.375 0.377 0.502
0.623 0.125 0.998
0.875 0.873 0.498
0.250 0.750 0.500
0.500 0.500 0.000
```



Density functional theory data (PBE) for TaAsF2 after structural relaxation.

Summary:
- Formation energy (no corrections): -231 kJ/mol of formula units
- Excess energy over the best structure of this formula in the dataset: 660 meV per atom
- M_tot: 0.0 μB per cell
- DOS at the Fermi energy: 0.43 states/eV per cell
- E: -0.416 Ry per atom
- Space-group type: No. 225

```
TaAsF2
1.0
0.000 2.970 2.970
2.970 0.000 2.970
2.970 2.970 0.000
Ta As F
1 1 2
Direct
0.000 0.000 0.000
0.500 0.500 0.500
0.250 0.250 0.250
0.750 0.750 0.750
```